# Cu2NiPt, relaxed, DFT PBE
# electronic total energy: -5.022 eV/atom
# density: 12.39 g/cm³
# calculated formation energy: -0.0185 eV per atom
data_Cu2NiPt
_symmetry_space_group_name_H-M 'F m -3 m'
_symmetry_Int_Tables_number 225
_symmetry_space_group_name_Hall '-F 4 2 3'
_cell_length_a 5.888
_cell_length_b 5.888
_cell_length_c 5.888
_cell_angle_alpha 90.00
_cell_angle_beta 90.00
_cell_angle_gamma 90.00
loop_
_atom_site_label
_atom_site_type_symbol
_atom_site_fract_x
_atom_site_fract_y
_atom_site_fract_z
_atom_site_occupancy
Cu1 Cu 0.250 0.250 0.250 1
Ni1 Ni 0.000 0.000 0.000 1
Pt1 Pt 0.000 0.000 0.500 1

---

# Cu2Ni3Pt4, relaxed, DFT PBE
# electronic total energy: -5.514 eV/atom
# E above lowest polymorph: 0.000 eV per atom
# density: 14.45 g/cm³
# calculated formation energy: 0.0081 eV per atom
data_Cu2Ni3Pt4
_symmetry_space_group_name_H-M 'C 1 2/m 1'
_symmetry_Int_Tables_number 12
_cell_length_a 14.855
_cell_length_b 2.675
_cell_length_c 6.342
_cell_angle_alpha 90.00
_cell_angle_beta 98.68
_cell_angle_gamma 90.00
loop_
_symmetry_equiv_pos_as_xyz
'x,y,z'
'-x,-y,-z'
'-x,y,-z'
'x,-y,z'
'x+1/2,y+1/2,z'
'-x+1/2,-y+1/2,-z'
'-x+1/2,y+1/2,-z'
'x+1/2,-y+1/2,z'
loop_
_atom_site_label
_atom_site_type_symbol
_atom_site_fract_x
_atom_site_fract_y
_atom_site_fract_z
_atom_site_occupancy
Cu1 Cu 0.161 0.000 0.050 1
Ni1 Ni 0.000 0.500 0.000 1
Ni2 Ni 0.106 0.500 0.371 1
Pt1 Pt 0.047 0.000 0.698 1
Pt2 Pt 0.223 0.000 0.673 1

---

# Cu2Ni3Pt3, relaxed, DFT PBE
# electronic total energy: -5.406 eV/atom
# density: 13.55 g/cm³
# calculated formation energy: 0.0514 eV per atom
data_Cu2Ni3Pt3
_symmetry_space_group_name_H-M 'R 3 2'
_symmetry_Int_Tables_number 155
_symmetry_space_group_name_Hall 'R 3 2"'
_cell_length_a 6.9362
_cell_length_b 6.9362
_cell_length_c 7.8399
_cell_angle_alpha 90.00
_cell_angle_beta 90.00
_cell_angle_gamma 120.00
loop_
_atom_site_label
_atom_site_type_symbol
_atom_site_fract_x
_atom_site_fract_y
_atom_site_fract_z
_atom_site_occupancy
Cu1 Cu 0.0000 0.0000 0.2482 1
Ni1 Ni 0.0000 0.7045 0.0000 1
Pt1 Pt 0.0000 0.2836 0.5000 1

---

# CuNi2Pt, relaxed, DFT PBE
# electronic total energy: -5.280 eV/atom
# density: 12.01 g/cm³
# calculated formation energy: 0.1452 eV per atom
data_CuNi2Pt
_symmetry_space_group_name_H-M 'P n m a'
_symmetry_Int_Tables_number 62
_cell_length_a 5.127
_cell_length_b 4.365
_cell_length_c 9.295
_cell_angle_alpha 90.00
_cell_angle_beta 90.00
_cell_angle_gamma 90.00
loop_
_symmetry_equiv_pos_as_xyz
'x,y,z'
'-x,-y,-z'
'-x+1/2,-y,z+1/2'
'x+1/2,y,-z+1/2'
'x+1/2,-y+1/2,-z+1/2'
'-x+1/2,y+1/2,z+1/2'
'-x,y+1/2,-z'
'x,-y+1/2,z'
loop_
_atom_site_label
_atom_site_type_symbol
_atom_site_fract_x
_atom_site_fract_y
_atom_site_fract_z
_atom_site_occupancy
Cu1 Cu 0.241 0.250 0.128 1
Ni1 Ni 0.004 0.250 0.898 1
Ni2 Ni 0.248 0.750 0.889 1
Pt1 Pt 0.004 0.750 0.369 1

---

# CuNi2Pt, relaxed, DFT PBE
# electronic total energy: -5.484 eV/atom
# density: 12.54 g/cm³
# calculated formation energy: -0.0594 eV per atom
data_CuNi2Pt
_symmetry_space_group_name_H-M 'P 4/m m m'
_symmetry_Int_Tables_number 123
_symmetry_space_group_name_Hall '-P 4 2'
_cell_length_a 3.683
_cell_length_b 3.683
_cell_length_c 3.670
_cell_angle_alpha 90.00
_cell_angle_beta 90.00
_cell_angle_gamma 90.00
loop_
_atom_site_label
_atom_site_type_symbol
_atom_site_fract_x
_atom_site_fract_y
_atom_site_fract_z
_atom_site_occupancy
Cu1 Cu 0.000 0.000 0.000 1
Ni1 Ni 0.000 0.500 0.500 1
Pt1 Pt 0.500 0.500 0.000 1

---

# Cu4NiPt2, relaxed, DFT PBE
# electronic total energy: -4.965 eV/atom
# density: 12.81 g/cm³
# calculated formation energy: -0.0729 eV per atom
data_Cu4NiPt2
_symmetry_space_group_name_H-M 'P 1'
_symmetry_Int_Tables_number 1
_cell_length_a 5.117
_cell_length_b 6.245
_cell_length_c 6.827
_cell_angle_alpha 64.14
_cell_angle_beta 69.54
_cell_angle_gamma 74.52
loop_
_symmetry_equiv_pos_as_xyz
'x,y,z'
loop_
_atom_site_label
_atom_site_type_symbol
_atom_site_fract_x
_atom_site_fract_y
_atom_site_fract_z
_atom_site_occupancy
Cu1 Cu 0.000 0.000 0.000 1
Cu2 Cu 0.043 0.198 0.269 1
Cu3 Cu 0.132 0.586 0.278 1
Cu4 Cu 0.187 0.779 0.547 1
Cu5 Cu 0.281 0.148 0.573 1
Cu6 Cu 0.421 0.732 0.851 1
Cu7 Cu 0.623 0.485 0.403 1
Cu8 Cu 0.765 0.051 0.684 1
Ni1 Ni 0.713 0.870 0.427 1
Ni2 Ni 0.905 0.631 0.972 1
Pt1 Pt 0.323 0.347 0.831 1
Pt2 Pt 0.480 0.902 0.121 1
Pt3 Pt 0.573 0.295 0.153 1
Pt4 Pt 0.856 0.450 0.701 1